A plane-wave DFT calculation with GGA-PBE was carried out for a relaxed structure of La3Zr.

Values from the calculation:
DFT total energy = -5.664 eV/atom
SG = P4/mmm
energy of formation = 16 kJ/mol of atoms

Unit cell a=4.1184 b=4.1184 c=7.6756 alpha=90.00 beta=90.00 gamma=90.00
Atoms (fractional coordinates):
La1 0.0000 0.0000 0.0000
La2 0.5000 0.5000 0.2856
La3 0.5000 0.5000 0.7144
Zr1 0.0000 0.0000 0.5000

=====

A plane-wave DFT calculation with GGA-PBE was carried out for a relaxed structure of Rb5OF4.

Values from the calculation:
DFT total energy = -3.974 eV/atom
SG = I4/m
energy relative to the elements, uncorrected = -2.25 eV/atom

Unit cell a=7.0891 b=7.0891 c=7.0891 alpha=99.35 beta=99.35 gamma=132.47
Atoms (fractional coordinates):
Rb1 0.0000 0.0000 0.0000
Rb2 0.1947 0.3967 0.5914
Rb3 0.3967 0.8053 0.2020
Rb4 0.6033 0.1947 0.7980
Rb5 0.8053 0.6033 0.4086
O1 0.5000 0.5000 0.0000
F1 0.0998 0.7030 0.8028
F2 0.2970 0.0998 0.3968
F3 0.7030 0.9002 0.6032
F4 0.9002 0.2970 0.1972

=====

A plane-wave DFT calculation with GGA-PBE was carried out for a relaxed structure of ZnHgAs.

Values from the calculation:
DFT total energy = -1.903 eV/atom
SG = P3m1
energy of formation = 17 kJ/mol of atoms
relative energy among the computed polymorphs = 0.416 eV/f.u.

Unit cell a=3.4301 b=3.4301 c=6.1536 alpha=90.00 beta=90.00 gamma=120.00
Atoms (fractional coordinates):
Zn1 0.0000 0.0000 0.0000
Hg1 0.3333 0.6667 0.6667
As1 0.6667 0.3333 0.2790

=====

A plane-wave DFT calculation with GGA-PBE was carried out for a relaxed structure of CsK2HgPt.

Values from the calculation:
DFT total energy = -1.946 eV/atom
SG = P4/mmm
energy of formation = -7 kJ/mol of atoms
relative energy among the computed polymorphs = 0.000 eV/f.u.

Unit cell a=6.1842 b=6.1842 c=5.5365 alpha=90.00 beta=90.00 gamma=90.00
Atoms (fractional coordinates):
Cs1 0.0000 0.0000 0.0000
K1 0.0000 0.5000 0.5000
K2 0.5000 0.0000 0.5000
Hg1 0.5000 0.5000 0.0000
Pt1 0.5000 0.5000 0.5000

=====

A plane-wave DFT calculation with GGA-PBE was carried out for a relaxed structure of SrPrPuN3.

Values from the calculation:
DFT total energy = -8.688 eV/atom
SG = P2_1/m
energy relative to the elements, uncorrected = -1.06 eV/atom

Unit cell a=6.2249 b=3.7181 c=9.3668 alpha=90.00 beta=103.86 gamma=90.00
Atoms (fractional coordinates):
Sr1 0.1515 0.2500 0.1885
Sr2 0.8485 0.7500 0.8115
Pr1 0.2693 0.7500 0.5411
Pr2 0.7307 0.2500 0.4589
Pu1 0.3636 0.2500 0.8500
Pu2 0.6364 0.7500 0.1500
N1 0.0622 0.2500 0.6786
N2 0.3039 0.7500 0.9828
N3 0.4703 0.7500 0.3440
N4 0.5297 0.2500 0.6560
N5 0.6961 0.2500 0.0172
N6 0.9378 0.7500 0.3214

=====

A plane-wave DFT calculation with GGA-PBE was carried out for a relaxed structure of SrCa2La2.

Values from the calculation:
DFT total energy = -2.964 eV/atom
SG = P4/mbm
energy of formation = 14 kJ/mol of atoms
relative energy among the computed polymorphs = 0.000 eV/f.u.

Unit cell a=10.2494 b=10.2494 c=4.0510 alpha=90.00 beta=90.00 gamma=90.00
Atoms (fractional coordinates):
Sr1 0.0000 0.0000 0.0000
Sr2 0.5000 0.5000 0.0000
Ca1 0.1799 0.3201 0.5000
Ca2 0.3201 0.8201 0.5000
Ca3 0.6799 0.1799 0.5000
Ca4 0.8201 0.6799 0.5000
La1 0.1124 0.6124 0.0000
La2 0.3876 0.1124 0.0000
La3 0.6124 0.8876 0.0000
La4 0.8876 0.3876 0.0000

=====

| no. | DOS(E_F) (states/eV per cell) |
| --- | --- |
| 1 | 5.647 |
| 2 | 1.817 |
| 3 | 0.589 |
| 4 | 2.559 |
| 5 | 10.549 |
| 6 | 17.530 |